(1)
B2IrBrF | PBE | optimized geometry

Lattice parameters (Å, degrees): 3.7449 5.1331 3.7449 90.00 90.00 90.00
Atoms (fractional coordinates):
B  0.0000  0.0000  0.5000
B  0.5000  0.0000  0.0000
Ir  0.5000  0.5000  0.5000
Br  0.0000  0.5000  0.0000
F  0.0000  0.0000  0.0000

## Properties
VASP energy, Ha/atom: -0.1238
Raw formation energy, meV/atom: 1783
Magnetization, μB per cell: 0.000
DOS at the Fermi energy, states/eV per cell: 3.40



(2)
KB2BrF | PBE | optimized geometry

Lattice parameters (Å, degrees): 4.3629 5.7693 4.3629 90.00 90.00 90.00
Atoms (fractional coordinates):
K  0.0000  0.5000  0.0000
B  0.0000  0.0000  0.5000
B  0.5000  0.0000  0.0000
Br  0.5000  0.5000  0.5000
F  0.0000  0.0000  0.0000

## Properties
VASP energy, Ha/atom: -0.1053
Raw formation energy, meV/atom: 733
Magnetization, μB per cell: 0.000
DOS at the Fermi energy, states/eV per cell: 2.23